1.
Here is a relaxed Y5TmPd6 crystal from Alexandria. Energies are from PBE.

Cell: 5.010 14.980 6.910 Å, 90.00 90.00 90.00°
Space group Cmmm (No. 65)
Symmetry-distinct sites (fractional):
Y1 0.000 0.000 0.000 x2
Y2 0.000 0.333 0.000 x4
Y3 0.000 0.333 0.500 x4
Tm1 0.000 0.000 0.500 x2
Pd1 0.000 0.164 0.252 x8
Pd2 0.000 0.500 0.255 x4

Output
- formation energy from the elements (eV per atom) = -0.884
- V (Å³ per atom) = 21.6
- size of the total moment (μB/f.u.) = 0.00
- uncorrected energy (eV per atom) = -6.546

***

2.
Here is a relaxed AlSiSe2 crystal from Alexandria. Energies are from PBE.

Cell: 3.6122 3.6122 24.6151 Å, 90.00 90.00 120.00°
Space group R3m (No. 160, hexagonal axes)
Symmetry-distinct sites (fractional):
Al1 0.0000 0.0000 0.0000 x3
Si1 0.0000 0.0000 0.2526 x3
Se1 0.0000 0.0000 0.5305 x3
Se2 0.0000 0.0000 0.7183 x3

Output
- V (Å³ per atom) = 23.2
- size of the total moment (μB/f.u.) = 0.00
- uncorrected energy (eV per atom) = -4.399
- excess energy over the best structure of this formula in the dataset (meV per atom) = 4

***

3.
Here is a relaxed LaAl2Ni crystal from Alexandria. Energies are from PBE.

Cell: 2.998 5.022 10.255 Å, 90.00 90.00 90.00°
Space group Immm (No. 71)
Symmetry-distinct sites (fractional):
La1 0.000 0.000 0.000 x2
Al1 0.000 0.500 0.206 x4
Ni1 0.000 0.000 0.500 x2

Output
- formation energy from the elements (eV per atom) = -0.218
- V (Å³ per atom) = 19.3
- size of the total moment (μB/f.u.) = 0.00
- uncorrected energy (eV per atom) = -4.766

***

4.
Here is a relaxed La2ErThSb4 crystal from Alexandria. Energies are from PBE.

Cell: 7.817 4.531 7.865 Å, 90.00 109.46 90.00°
Space group P2/m (No. 10)
Symmetry-distinct sites (fractional):
La1 0.000 0.000 0.000 x1
La2 0.500 0.500 0.000 x1
Er1 0.000 0.500 0.500 x1
Th1 0.500 0.000 0.500 x1
Sb1 0.242 0.000 0.737 x2
Sb2 0.249 0.500 0.260 x2

Output
- V (Å³ per atom) = 32.8
- size of the total moment (μB/f.u.) = 0.00
- uncorrected energy (eV per atom) = -5.944

***

5.
Here is a relaxed Zr2ReTc crystal from Alexandria. Energies are from PBE.

Cell: 3.266 4.593 9.633 Å, 90.00 90.00 90.00°
Space group Imm2 (No. 44)
Symmetry-distinct sites (fractional):
Zr1 0.000 0.000 0.000 x2
Zr2 0.000 0.500 0.233 x2
Re1 0.000 0.500 0.754 x2
Tc1 0.000 0.000 0.481 x2

Output
- formation energy from the elements (eV per atom) = -0.249
- V (Å³ per atom) = 18.1
- size of the total moment (μB/f.u.) = 0.00
- uncorrected energy (eV per atom) = -10.226